The following is a DFT calculation (GGA+U) of crystalline Ba2CoRuO6 at its relaxed geometry.

abc: 5.8007 5.8007 14.2847
angles: 90.00 90.00 120.00
Space group P3m1 (No. 156)
Unique sites:
Ba (0.0000, 0.0000, 0.0000) (multiplicity 1)
Ba (0.0000, 0.0000, 0.3132) (multiplicity 1)
Ba (0.3333, 0.6667, 0.4874) (multiplicity 1)
Ba (0.3333, 0.6667, 0.8219) (multiplicity 1)
Ba (0.6667, 0.3333, 0.1602) (multiplicity 1)
Ba (0.6667, 0.3333, 0.6552) (multiplicity 1)
Co (0.3333, 0.6667, 0.2518) (multiplicity 1)
Co (0.6667, 0.3333, 0.3842) (multiplicity 1)
Co (0.6667, 0.3333, 0.9112) (multiplicity 1)
Ru (0.0000, 0.0000, 0.5611) (multiplicity 1)
Ru (0.0000, 0.0000, 0.7561) (multiplicity 1)
Ru (0.3333, 0.6667, 0.0687) (multiplicity 1)
O (0.0076, 0.5038, 0.3297) (multiplicity 3)
O (0.0078, 0.5039, 0.9950) (multiplicity 3)
O (0.1495, 0.2991, 0.6609) (multiplicity 3)
O (0.1856, 0.3711, 0.1633) (multiplicity 3)
O (0.3255, 0.1627, 0.8289) (multiplicity 3)
O (0.3271, 0.1635, 0.4947) (multiplicity 3)

Output
V in Å³ per atom: 13.88
E in eV per atom: -6.54
D(E_F) in states/eV/f.u.: 5.3